No. 1
The following is a PBE-GGA calculation of a relaxed Y4ReNi crystal, from Alexandria via LeMat-Bulk.

Summary:
Formation energy from the elements, meV/atom: 1120

a = 5.899 Å, b = 5.899 Å, c = 5.899 Å
α = 60.00°, β = 60.00°, γ = 60.00°
Fractional coordinates of all 6 atoms:
Y (0.374, 0.877, 0.374)
Ni (0.750, 0.750, 0.750)
Y (0.877, 0.374, 0.374)
Y (0.374, 0.374, 0.374)
Y (0.374, 0.374, 0.877)
Re (0.000, 0.000, 0.000)

No. 2
The following is a PBE-GGA calculation of a relaxed In10Ga3Sn crystal, from Alexandria via LeMat-Bulk.

Summary:
Formation energy from the elements, meV/atom: 81

a = 10.256 Å, b = 10.256 Å, c = 10.256 Å
α = 60.00°, β = 60.00°, γ = 60.00°
Fractional coordinates of all 28 atoms:
Ga (0.277, 0.723, 0.277)
In (0.373, 0.373, 0.881)
In (0.627, 0.119, 0.627)
In (0.656, 0.000, 0.000)
Ga (0.277, 0.277, 0.723)
In (0.000, 0.656, 0.000)
In (0.627, 0.627, 0.119)
In (0.881, 0.373, 0.373)
Ga (0.277, 0.723, 0.723)
In (0.656, 0.344, 0.000)
In (0.373, 0.881, 0.373)
Sn (0.250, 0.250, 0.250)
Sn (0.750, 0.750, 0.750)
In (0.000, 0.344, 0.656)
In (0.627, 0.627, 0.627)
In (0.344, 0.000, 0.000)
In (0.656, 0.000, 0.344)
In (0.000, 0.656, 0.344)
Ga (0.723, 0.277, 0.277)
Ga (0.723, 0.723, 0.277)
Ga (0.723, 0.277, 0.723)
In (0.000, 0.000, 0.344)
In (0.000, 0.000, 0.656)
In (0.119, 0.627, 0.627)
In (0.000, 0.344, 0.000)
In (0.373, 0.373, 0.373)
In (0.344, 0.656, 0.000)
In (0.344, 0.000, 0.656)

No. 3
The following is a PBE-GGA calculation of a relaxed YGe2PBr crystal, from Alexandria via LeMat-Bulk.

Summary:
E_form (uncorrected), eV per atom: 0.58

a = 5.728 Å, b = 5.133 Å, c = 5.728 Å
α = 90.00°, β = 90.00°, γ = 90.00°
Fractional coordinates of all 5 atoms:
Y (0.000, 0.000, 0.000)
Br (0.500, 0.500, 0.500)
Ge (0.000, 0.000, 0.500)
P (0.000, 0.500, 0.000)
Ge (0.500, 0.000, 0.000)

No. 4
The following is a PBE-GGA calculation of a relaxed Ag4C crystal, from Alexandria via LeMat-Bulk.

Summary:
Formation energy from the elements, meV/atom: 1455
Distance to the lowest polymorph of the same formula, eV/atom: 0.763

a = 7.595 Å, b = 7.595 Å, c = 7.595 Å
α = 152.16°, β = 152.16°, γ = 39.78°
Fractional coordinates of all 5 atoms:
C (0.000, 0.000, 0.000)
Ag (0.592, 0.592, 0.000)
Ag (0.408, 0.408, 0.000)
Ag (0.750, 0.250, 0.500)
Ag (0.250, 0.750, 0.500)

No. 5
The following is a PBE-GGA calculation of a relaxed Te2As crystal, from Alexandria via LeMat-Bulk.

Summary:
E_form (uncorrected), eV per atom: 0.26
Distance to the lowest polymorph of the same formula, eV/atom: 0.222

a = 7.997 Å, b = 7.997 Å, c = 7.712 Å
α = 90.00°, β = 90.00°, γ = 120.00°
Fractional coordinates of all 12 atoms:
As (0.667, 0.333, 0.475)
Te (0.361, 0.181, 0.250)
Te (0.000, 0.000, 0.000)
Te (0.000, 0.000, 0.500)
Te (0.819, 0.181, 0.250)
Te (0.181, 0.361, 0.750)
Te (0.819, 0.639, 0.250)
As (0.333, 0.667, 0.975)
As (0.667, 0.333, 0.025)
Te (0.181, 0.819, 0.750)
As (0.333, 0.667, 0.525)
Te (0.639, 0.819, 0.750)

No. 6
The following is a PBE-GGA calculation of a relaxed NaLi2Sn crystal, from Alexandria via LeMat-Bulk.

Summary:
Formation energy from the elements, meV/atom: -206

a = 4.988 Å, b = 4.988 Å, c = 4.988 Å
α = 60.00°, β = 60.00°, γ = 60.00°
Fractional coordinates of all 4 atoms:
Na (0.500, 0.500, 0.500)
Li (0.000, 0.000, 0.000)
Sn (0.750, 0.750, 0.750)
Li (0.250, 0.250, 0.250)

No. 7
The following is a PBE-GGA calculation of a relaxed USiRhC crystal, from Alexandria via LeMat-Bulk.

Summary:
E_form (uncorrected), eV per atom: -0.48

a = 3.840 Å, b = 3.840 Å, c = 8.288 Å
α = 90.00°, β = 90.00°, γ = 90.00°
Site moments in Bohr magnetons follow the coordinates.
Fractional coordinates of all 8 atoms:
Si (0.500, 0.000, 0.664)  0.00
Rh (0.500, 0.500, 0.500)  -0.03
U (0.500, 0.000, 0.157)  1.56
U (0.000, 0.500, 0.843)  1.56
Si (0.000, 0.500, 0.336)  0.00
Rh (0.000, 0.000, 0.500)  -0.03
C (0.500, 0.000, 0.887)  -0.07
C (0.000, 0.500, 0.113)  -0.07

No. 8
The following is a PBE-GGA calculation of a relaxed CoSb2Pd2 crystal, from Alexandria via LeMat-Bulk.

Summary:
E_form (uncorrected), eV per atom: 0.06
Distance to the lowest polymorph of the same formula, eV/atom: 0.077

a = 7.089 Å, b = 7.089 Å, c = 3.745 Å
α = 90.00°, β = 90.00°, γ = 90.00°
Site moments in Bohr magnetons follow the coordinates.
Fractional coordinates of all 10 atoms:
Sb (0.171, 0.671, 0.500)  -0.01
Sb (0.671, 0.829, 0.500)  -0.01
Pd (0.862, 0.638, 0.000)  0.01
Co (0.500, 0.500, 0.000)  1.68
Sb (0.829, 0.329, 0.500)  -0.01
Sb (0.329, 0.171, 0.500)  -0.01
Pd (0.138, 0.362, 0.000)  0.01
Pd (0.638, 0.138, 0.000)  0.01
Co (0.000, 0.000, 0.000)  1.70
Pd (0.362, 0.862, 0.000)  0.01

No. 9
The following is a PBE-GGA calculation of a relaxed Ba2LiIn12Pd3 crystal, from Alexandria via LeMat-Bulk.

Summary:
Formation energy from the elements, meV/atom: -132

a = 8.744 Å, b = 8.744 Å, c = 8.744 Å
α = 69.86°, β = 69.86°, γ = 69.86°
Fractional coordinates of all 18 atoms:
In (0.132, 0.643, 0.132)
In (0.357, 0.868, 0.868)
In (0.121, 0.726, 0.726)
In (0.726, 0.121, 0.726)
In (0.726, 0.726, 0.121)
In (0.868, 0.868, 0.357)
In (0.643, 0.132, 0.132)
In (0.132, 0.132, 0.643)
Pd (0.500, 0.000, 0.000)
In (0.868, 0.357, 0.868)
Pd (0.000, 0.500, 0.000)
Ba (0.602, 0.602, 0.602)
Ba (0.398, 0.398, 0.398)
Li (0.000, 0.000, 0.000)
In (0.274, 0.879, 0.274)
In (0.879, 0.274, 0.274)
In (0.274, 0.274, 0.879)
Pd (0.000, 0.000, 0.500)

No. 10
The following is a PBE-GGA calculation of a relaxed NaPu2Cl8 crystal, from Alexandria via LeMat-Bulk.

Summary:
E_form (uncorrected), eV per atom: -1.77
Distance to the lowest polymorph of the same formula, eV/atom: 0.000

a = 7.249 Å, b = 6.929 Å, c = 6.929 Å
α = 75.88°, β = 99.52°, γ = 99.52°
Site moments in Bohr magnetons follow the coordinates.
Fractional coordinates of all 11 atoms:
Cl (0.731, 0.564, 0.564)  -0.07
Na (0.000, 0.000, 0.000)  0.00
Pu (0.447, 0.687, 0.687)  4.68
Cl (0.171, 0.800, 0.800)  -0.06
Cl (0.673, 0.054, 0.672)  -0.05
Cl (0.269, 0.436, 0.436)  -0.07
Cl (0.673, 0.672, 0.054)  -0.05
Cl (0.829, 0.200, 0.200)  -0.06
Cl (0.327, 0.328, 0.946)  -0.05
Cl (0.327, 0.946, 0.328)  -0.05
Pu (0.553, 0.313, 0.313)  4.68

No. 11
The following is a PBE-GGA calculation of a relaxed SmNiSn2 crystal, from Alexandria via LeMat-Bulk.

Summary:
Formation energy from the elements, meV/atom: -580

a = 4.496 Å, b = 9.281 Å, c = 10.086 Å
α = 117.39°, β = 102.88°, γ = 90.00°
Fractional coordinates of all 16 atoms:
Ni (0.148, 0.402, 0.297)
Ni (0.148, 0.895, 0.297)
Sm (0.295, 0.295, 0.589)
Sn (0.304, 0.641, 0.608)
Ni (0.852, 0.105, 0.703)
Sm (0.500, 0.736, 0.000)
Sn (0.304, 0.967, 0.608)
Sn (0.084, 0.084, 0.168)
Sn (0.696, 0.359, 0.392)
Sn (0.080, 0.580, 0.161)
Sn (0.696, 0.033, 0.392)
Sn (0.916, 0.916, 0.832)
Sn (0.920, 0.420, 0.839)
Sm (0.500, 0.264, 0.000)
Ni (0.852, 0.598, 0.703)
Sm (0.705, 0.705, 0.411)

No. 12
The following is a PBE-GGA calculation of a relaxed Tb12Y5Ho2 crystal, from Alexandria via LeMat-Bulk.

Summary:
Formation energy from the elements, meV/atom: 121
Distance to the lowest polymorph of the same formula, eV/atom: 0.008

a = 9.156 Å, b = 9.140 Å, c = 8.572 Å
α = 91.30°, β = 90.00°, γ = 120.06°
Fractional coordinates of all 19 atoms:
Y (0.700, 0.401, 0.015)
Tb (0.567, 0.746, 0.332)
Tb (0.433, 0.254, 0.668)
Tb (0.179, 0.746, 0.332)
Y (0.000, 0.000, 0.500)
Y (0.300, 0.599, 0.985)
Tb (0.334, 0.305, 0.241)
Tb (0.029, 0.695, 0.759)
Tb (0.971, 0.305, 0.241)
Ho (0.324, 0.000, 0.000)
Tb (0.558, 0.115, 0.338)
Tb (0.088, 0.175, 0.885)
Tb (0.821, 0.254, 0.668)
Tb (0.442, 0.885, 0.662)
Tb (0.666, 0.695, 0.759)
Ho (0.676, 0.000, 0.000)
Y (0.233, 0.465, 0.571)
Tb (0.912, 0.825, 0.115)
Y (0.767, 0.535, 0.429)

No. 13
The following is a PBE-GGA calculation of a relaxed SrMgRu2O8 crystal, from Alexandria via LeMat-Bulk.

Summary:
E_form (uncorrected), eV per atom: -1.44

a = 5.738 Å, b = 5.738 Å, c = 6.952 Å
α = 90.00°, β = 90.00°, γ = 120.00°
Site moments in Bohr magnetons follow the coordinates.
Fractional coordinates of all 12 atoms:
O (0.161, 0.845, 0.697)  0.14
Sr (0.000, 0.000, 0.000)  0.02
O (0.684, 0.839, 0.697)  0.14
O (0.667, 0.333, 0.983)  0.27
O (0.839, 0.155, 0.303)  0.14
O (0.155, 0.316, 0.697)  0.14
O (0.316, 0.161, 0.303)  0.14
Mg (0.000, 0.000, 0.500)  0.00
Ru (0.333, 0.667, 0.761)  1.06
Ru (0.667, 0.333, 0.239)  1.06
O (0.333, 0.667, 0.017)  0.27
O (0.845, 0.684, 0.303)  0.14

No. 14
The following is a PBE-GGA calculation of a relaxed LiTlGeAs2 crystal, from Alexandria via LeMat-Bulk.

Summary:
Formation energy from the elements, meV/atom: -160

a = 4.053 Å, b = 7.095 Å, c = 9.081 Å
α = 79.63°, β = 77.11°, γ = 73.41°
Fractional coordinates of all 10 atoms:
Li (0.645, 0.621, 0.089)
Tl (0.185, 0.273, 0.357)
As (0.436, 0.783, 0.344)
Li (0.355, 0.379, 0.911)
As (0.159, 0.752, 0.931)
As (0.841, 0.248, 0.069)
Tl (0.815, 0.727, 0.643)
Ge (0.962, 0.895, 0.181)
Ge (0.038, 0.105, 0.819)
As (0.564, 0.217, 0.656)

No. 15
The following is a PBE-GGA calculation of a relaxed CuMo3N crystal, from Alexandria via LeMat-Bulk.

Summary:
E_form (uncorrected), eV per atom: 0.02
Distance to the lowest polymorph of the same formula, eV/atom: 0.000

a = 4.084 Å, b = 4.084 Å, c = 4.084 Å
α = 90.00°, β = 90.00°, γ = 90.00°
Fractional coordinates of all 5 atoms:
Cu (0.500, 0.500, 0.500)
Mo (0.000, 0.500, 0.000)
Mo (0.000, 0.000, 0.500)
Mo (0.500, 0.000, 0.000)
N (0.000, 0.000, 0.000)

No. 16
The following is a PBE-GGA calculation of a relaxed BaSbPb2O8 crystal, from Alexandria via LeMat-Bulk.

Summary:
E_form (uncorrected), eV per atom: -1.15

a = 5.056 Å, b = 4.786 Å, c = 7.532 Å
α = 89.95°, β = 89.98°, γ = 88.11°
Site moments in Bohr magnetons follow the coordinates.
Fractional coordinates of all 12 atoms:
Ba (0.000, 0.000, 0.500)  0.00
O (0.841, 0.223, 0.202)  0.00
Pb (0.500, 0.500, 0.225)  0.00
O (0.319, 0.255, 0.000)  0.00
O (0.842, 0.224, 0.798)  0.00
Pb (0.500, 0.500, 0.775)  0.00
O (0.529, 0.739, 0.500)  0.07
O (0.681, 0.745, 0.000)  0.00
Sb (0.000, 0.000, 0.000)  0.00
O (0.158, 0.776, 0.202)  0.00
O (0.471, 0.261, 0.500)  0.07
O (0.159, 0.777, 0.798)  0.00

No. 17
The following is a PBE-GGA calculation of a relaxed Sm4Tm3Mg2 crystal, from Alexandria via LeMat-Bulk.

Summary:
Formation energy from the elements, meV/atom: 8

a = 4.996 Å, b = 7.724 Å, c = 7.890 Å
α = 107.78°, β = 108.46°, γ = 90.00°
Fractional coordinates of all 9 atoms:
Tm (0.000, 0.000, 0.000)
Mg (0.332, 0.001, 0.663)
Tm (0.889, 0.331, 0.778)
Tm (0.111, 0.669, 0.222)
Sm (0.222, 0.328, 0.444)
Sm (0.553, 0.331, 0.106)
Mg (0.668, 0.999, 0.337)
Sm (0.447, 0.669, 0.894)
Sm (0.778, 0.672, 0.556)

No. 18
The following is a PBE-GGA calculation of a relaxed DyThI2 crystal, from Alexandria via LeMat-Bulk.

Summary:
E_form (uncorrected), eV per atom: -0.53

a = 3.760 Å, b = 3.760 Å, c = 11.159 Å
α = 80.30°, β = 80.30°, γ = 60.00°
Site moments in Bohr magnetons follow the coordinates.
Fractional coordinates of all 4 atoms:
Th (0.000, 0.000, 0.000)  0.06
I (0.099, 0.099, 0.703)  0.00
Dy (0.500, 0.500, 0.500)  0.00
I (0.901, 0.901, 0.297)  0.00

No. 19
The following is a PBE-GGA calculation of a relaxed CrP crystal, from Alexandria via LeMat-Bulk.

Summary:
Formation energy from the elements, meV/atom: 70

a = 7.224 Å, b = 7.224 Å, c = 7.224 Å
α = 90.00°, β = 90.00°, γ = 90.00°
Site moments in Bohr magnetons follow the coordinates.
Fractional coordinates of all 16 atoms:
P (0.323, 0.323, 0.677)  -0.20
P (0.177, 0.177, 0.177)  -0.20
Cr (0.361, 0.361, 0.361)  2.57
P (0.323, 0.677, 0.323)  -0.20
P (0.677, 0.323, 0.323)  -0.20
Cr (0.861, 0.139, 0.139)  2.57
P (0.823, 0.177, 0.823)  -0.20
P (0.823, 0.823, 0.177)  -0.20
Cr (0.139, 0.139, 0.861)  2.57
Cr (0.639, 0.639, 0.361)  2.57
P (0.677, 0.677, 0.677)  -0.20
Cr (0.639, 0.361, 0.639)  2.57
Cr (0.139, 0.861, 0.139)  2.57
Cr (0.361, 0.639, 0.639)  2.57
P (0.177, 0.823, 0.823)  -0.20
Cr (0.861, 0.861, 0.861)  2.57

No. 20
The following is a PBE-GGA calculation of a relaxed SrHgP2 crystal, from Alexandria via LeMat-Bulk.

Summary:
Formation energy from the elements, meV/atom: -190

a = 7.668 Å, b = 7.668 Å, c = 6.338 Å
α = 52.78°, β = 52.78°, γ = 90.00°
Fractional coordinates of all 8 atoms:
P (0.676, 0.125, 0.250)
Sr (0.250, 0.750, 0.500)
Hg (0.000, 0.000, 0.000)
P (0.375, 0.324, 0.750)
P (0.875, 0.926, 0.750)
Sr (0.500, 0.500, 0.000)
Hg (0.750, 0.250, 0.500)
P (0.074, 0.625, 0.250)

No. 21
The following is a PBE-GGA calculation of a relaxed TiMnV crystal, from Alexandria via LeMat-Bulk.

Summary:
Formation energy from the elements, meV/atom: -188
Distance to the lowest polymorph of the same formula, eV/atom: 0.032

a = 4.888 Å, b = 4.888 Å, c = 7.909 Å
α = 90.00°, β = 90.00°, γ = 119.19°
Fractional coordinates of all 12 atoms:
Ti (0.668, 0.332, 0.303)
Ti (0.333, 0.667, 0.181)
V (0.003, 0.997, 0.238)
Ti (0.668, 0.332, 0.697)
Mn (0.828, 0.655, 0.000)
Mn (0.345, 0.172, 0.000)
V (0.657, 0.832, 0.500)
Ti (0.333, 0.667, 0.819)
V (0.168, 0.343, 0.500)
Mn (0.168, 0.832, 0.500)
Mn (0.826, 0.174, 0.000)
V (0.003, 0.997, 0.762)

No. 22
The following is a PBE-GGA calculation of a relaxed ScTa2Cl crystal, from Alexandria via LeMat-Bulk.

Summary:
E_form (uncorrected), eV per atom: -0.20
Distance to the lowest polymorph of the same formula, eV/atom: 0.000

a = 3.281 Å, b = 3.386 Å, c = 7.509 Å
α = 76.94°, β = 90.00°, γ = 90.00°
Fractional coordinates of all 4 atoms:
Sc (0.500, 0.683, 0.760)
Ta (0.000, 0.059, 0.007)
Ta (0.500, 0.463, 0.198)
Cl (0.000, 0.294, 0.536)